Record 1
Density functional theory data (PBE-GGA) for KGa2Sb2 after structural relaxation.

Geometry as POSCAR:
```
KGa2Sb2
1.0
-3.9224 -7.8215 -1.3946
2.7940 -2.8140 7.9234
-3.2320 1.3332 1.6132
Ga K Sb
4 2 4
Direct
0.3607 0.1393 0.5000
0.8607 0.3607 0.5000
0.6393 0.8607 0.5000
0.1393 0.6393 0.5000
0.0000 0.0000 0.0000
0.5000 0.5000 0.0000
0.8820 0.6180 0.0000
0.6180 0.1180 0.0000
0.3820 0.8820 0.0000
0.1180 0.3820 0.0000
```

## Properties
Its energy relative to the elements, uncorrected is -73 meV/atom. Its crystal system is tetragonal. The calculation puts the relative energy among the computed polymorphs at 0.192 eV per atom.

***

Record 2
Density functional theory data (PBE-GGA) for CdCuOs2 after structural relaxation.

Geometry as POSCAR:
```
CdCuOs2
1.0
-0.0044 2.7079 -0.2278
-2.1220 -1.3650 -1.0092
-4.3764 0.6888 8.2702
Os Cu Cd
2 1 1
Direct
0.0000 0.0000 0.5181
0.0000 0.0000 0.9819
0.5000 0.5000 0.7500
0.5000 0.5000 0.2500
```

## Properties
Its crystal system is orthorhombic. The calculation puts the energy of formation from the pure elements at 0.64 eV per atom.

***

Record 3
Density functional theory data (PBE-GGA) for NaCd2Sn6 after structural relaxation.

Geometry as POSCAR:
```
NaCd2Sn6
1.0
-3.2974 -2.0559 -2.7171
-2.3194 -1.4154 3.8858
-6.0317 9.7423 -0.0516
Sn Cd Na
6 2 1
Direct
0.0000 0.5000 0.2892
0.5000 0.5000 0.5000
0.5000 0.0000 0.7108
0.0000 0.5000 0.7108
0.5000 0.0000 0.2892
0.0000 0.0000 0.5000
0.5000 0.5000 0.8799
0.5000 0.5000 0.1201
0.0000 0.0000 0.0000
```

## Properties
Its crystal system is tetragonal. The calculation puts the relative energy among the computed polymorphs at 0.019 eV per atom. The calculation puts the energy of formation from the pure elements at 0.02 eV per atom.

***

Record 4
Density functional theory data (PBE-GGA) for Cu6NiAu2 after structural relaxation.

Geometry as POSCAR:
```
Cu6NiAu2
1.0
2.5652 0.0001 -0.6859
-0.7990 6.5071 -2.9874
0.6190 -0.4913 7.4518
Ni Au Cu
1 2 6
Direct
0.0000 0.5000 0.0000
0.8497 0.8497 0.6993
0.1503 0.1503 0.3007
0.3320 0.4992 0.6639
0.6680 0.5008 0.3361
0.5000 0.1915 0.0000
0.3320 0.1647 0.6639
0.6680 0.8353 0.3361
0.5000 0.8085 0.0000
```

## Properties
Its crystal system is orthorhombic. The calculation puts the relative energy among the computed polymorphs at 0.000 eV per atom. The calculation puts the energy of formation from the pure elements at 0.10 eV per atom.

***

Record 5
Density functional theory data (PBE-GGA) for La3PbN after structural relaxation.

Geometry as POSCAR:
```
La3PbN
1.0
15.9299 0.0000 -0.3250
6.6836 6.5250 -3.0065
-6.6836 6.5250 3.0065
La Pb N
12 4 4
Direct
0.7657 0.3826 0.4136
0.2657 0.0864 0.1174
0.2343 0.6174 0.5864
0.7493 0.5013 0.7778
0.7486 0.7803 0.4993
0.2514 0.2197 0.5007
0.7507 0.2778 0.0013
0.7514 0.9993 0.2803
0.2507 0.4987 0.2222
0.2486 0.0007 0.7197
0.2493 0.7222 0.9987
0.7343 0.9136 0.8826
0.7500 0.1361 0.6361
0.7500 0.6361 0.1361
0.2500 0.8639 0.3639
0.2500 0.3639 0.8639
0.3468 0.3329 0.5266
0.6532 0.6671 0.4734
0.1532 0.0266 0.8329
0.8468 0.9734 0.1671
```

## Properties
Its energy relative to the elements, uncorrected is -767 meV/atom. Its crystal system is orthorhombic.

***

Record 6
Density functional theory data (PBE-GGA) for RbCu2H3S2O10 after structural relaxation.

Geometry as POSCAR:
```
RbCu2H3S2O10
1.0
-1.3004 3.7730 -3.9550
-4.3667 -1.7675 -3.0621
-6.8629 4.0633 1.6452
O S Cu H Rb
10 2 2 3 1
Direct
0.6521 0.6521 0.9344
0.8307 0.8307 0.4784
0.1729 0.1729 0.8191
0.8453 0.2325 0.2203
0.1702 0.1702 0.5210
0.2325 0.8453 0.2203
0.1551 0.7685 0.7804
0.3442 0.3442 0.0712
0.7685 0.1551 0.7804
0.8288 0.8288 0.1798
0.0702 0.0702 0.7237
0.9309 0.9309 0.2759
0.9933 0.5033 0.9983
0.5033 0.9933 0.9983
0.2954 0.2954 0.2081
0.7024 0.7024 0.7977
0.4755 0.4755 0.0133
0.5008 0.5008 0.5003
```

## Properties
Its crystal system is monoclinic.

***

Record 7
Density functional theory data (PBE-GGA) for BaCaCu2 after structural relaxation.

Geometry as POSCAR:
```
BaCaCu2
1.0
-1.8198 -4.0417 2.5935
2.6600 -1.9272 3.9477
-1.7316 0.5957 4.7980
Ba Cu Ca
1 2 1
Direct
0.5000 0.5000 0.5000
0.0000 0.0000 0.0000
0.2500 0.2500 0.2500
0.7500 0.7500 0.7500
```

## Properties
Its crystal system is cubic. The calculation puts the relative energy among the computed polymorphs at 0.376 eV per atom. The calculation puts the energy of formation from the pure elements at 0.32 eV per atom.

***

Record 8
Density functional theory data (PBE-GGA) for YNiW after structural relaxation.

Geometry as POSCAR:
```
YNiW
1.0
-1.6241 4.0770 -0.2586
-2.9167 1.0097 -3.1305
-4.1948 0.7669 1.0688
Ni Y W
1 1 1
Direct
0.2500 0.2500 0.2500
0.5000 0.5000 0.5000
0.0000 0.0000 0.0000
```

## Properties
Its crystal system is cubic. The calculation puts the relative energy among the computed polymorphs at 0.481 eV per atom. The calculation puts the energy of formation from the pure elements at 0.67 eV per atom.

***

Record 9
Density functional theory data (PBE-GGA) for MgGaNi after structural relaxation.

Geometry as POSCAR:
```
MgGaNi
1.0
-4.4301 -1.4539 -1.7119
3.8632 -3.0286 -0.7572
0.6523 0.1640 4.9211
Ga Mg Ni
2 2 2
Direct
0.5000 0.5000 0.5000
0.0000 0.5000 0.0000
0.7500 0.8863 0.1363
0.2500 0.1137 0.8637
0.0000 0.5000 0.5000
0.5000 0.0000 0.5000
```

## Properties
Its crystal system is orthorhombic. The calculation puts the energy of formation from the pure elements at -0.37 eV per atom.

***

Record 10
Density functional theory data (PBE-GGA) for TaHgPCl2 after structural relaxation.

Geometry as POSCAR:
```
TaHgPCl2
1.0
-1.5066 4.7642 0.0353
-1.1710 -0.3344 -4.8462
-4.8115 -1.5310 1.2682
P Hg Cl Ta
1 1 2 1
Direct
0.0000 0.0000 0.5000
0.0000 0.0000 0.0000
0.5000 0.0000 0.0000
0.0000 0.5000 0.0000
0.5000 0.5000 0.5000
```

## Properties
Its energy relative to the elements, uncorrected is 1225 meV/atom. Its crystal system is tetragonal. The calculation puts the relative energy among the computed polymorphs at 1.489 eV per atom.

***

Record 11
Density functional theory data (PBE-GGA) for AlTeSe2 after structural relaxation.

Geometry as POSCAR:
```
AlTeSe2
1.0
3.5255 0.0000 0.0000
0.0000 5.0047 0.0000
0.0000 0.0000 5.0047
Al Te Se
1 1 2
Direct
0.5000 0.0000 0.5000
0.5000 0.5000 0.0000
0.0000 0.5000 0.5000
0.0000 0.0000 0.0000
```

## Properties
Its energy relative to the elements, uncorrected is 190 meV/atom. Its crystal system is tetragonal. The calculation puts the relative energy among the computed polymorphs at 0.634 eV per atom.

***

Record 12
Density functional theory data (PBE-GGA) for Y4Ho3Er after structural relaxation.

Geometry as POSCAR:
```
Y4Ho3Er
1.0
-1.1179 3.1790 4.4658
-2.4902 -2.3236 1.0307
9.5190 -8.1390 4.6725
Ho Er Y
3 1 4
Direct
0.1551 0.0006 0.3101
0.0000 0.5000 0.0000
0.8449 0.9994 0.6899
0.5000 0.0000 0.0000
0.2774 0.4989 0.5547
0.3972 0.4999 0.7945
0.7226 0.5011 0.4453
0.6028 0.5001 0.2055
```

## Properties
Its crystal system is orthorhombic. The calculation puts the relative energy among the computed polymorphs at 0.205 eV per atom. The calculation puts the energy of formation from the pure elements at 0.21 eV per atom.

***

no.,density (kg/m3),total energy (eV/f.u.),magnetization (μB per formula unit)
1,4637,-15.8,0.0
2,15092,-24.9,0.0
3,6188,-27.0,0.0
4,11248,-36.0,0.0
5,7102,-30.7,0.8
6,3442,-98.6,1.9
7,5279,-10.8,0.0
8,9161,-23.2,0.0
9,5675,-11.5,0.0
10,6175,-15.1,2.4
11,5877,-13.1,0.0
12,6494,-42.5,0.0